SrLi2Hg2 after structural relaxation. Source: OQMD, functional PBE-GGA.

Results
The crystal system is tetragonal. The electronic total energy comes out at -8.01 eV per formula unit.

CIF file:
```
data_SrLi2Hg2
_cell_length_a 4.3872
_cell_length_b 4.3872
_cell_length_c 12.9585
_cell_angle_alpha 90.00
_cell_angle_beta 90.00
_cell_angle_gamma 90.00
_space_group_name_H-M_alt 'I 4/m m m'
_space_group_IT_number 139
_space_group_name_Hall '-I 4 2'
loop_
_atom_site_label
_atom_site_type_symbol
_atom_site_fract_x
_atom_site_fract_y
_atom_site_fract_z
Sr1 Sr 0.0000 0.0000 0.0000
Li1 Li 0.0000 0.5000 0.2500
Hg1 Hg 0.0000 0.0000 0.3808
```

FeCuBiW after structural relaxation. Source: OQMD, functional PBE-GGA.

Results
As for the energy above the most stable polymorph in this dataset: 0 meV/atom. The crystal system is cubic. As for the total magnetization: 1.5 μB/f.u.

CIF file:
```
data_FeCuBiW
_cell_length_a 6.3629
_cell_length_b 6.3629
_cell_length_c 6.3629
_cell_angle_alpha 90.00
_cell_angle_beta 90.00
_cell_angle_gamma 90.00
_space_group_name_H-M_alt 'F -4 3 m'
_space_group_IT_number 216
_space_group_name_Hall 'F -4 2 3'
loop_
_atom_site_label
_atom_site_type_symbol
_atom_site_fract_x
_atom_site_fract_y
_atom_site_fract_z
Fe1 Fe 0.0000 0.0000 0.0000
Cu1 Cu 0.0000 0.0000 0.5000
Bi1 Bi 0.2500 0.2500 0.2500
W1 W 0.2500 0.2500 0.7500
```

HfZnGaNi after structural relaxation. Source: OQMD, functional PBE-GGA.

Results
The crystal system is cubic. The electronic total energy comes out at -20.67 eV per formula unit. As for the total magnetization: 0.1 μB/f.u.

CIF file:
```
data_HfZnGaNi
_cell_length_a 6.2387
_cell_length_b 6.2387
_cell_length_c 6.2387
_cell_angle_alpha 90.00
_cell_angle_beta 90.00
_cell_angle_gamma 90.00
_space_group_name_H-M_alt 'F -4 3 m'
_space_group_IT_number 216
_space_group_name_Hall 'F -4 2 3'
loop_
_atom_site_label
_atom_site_type_symbol
_atom_site_fract_x
_atom_site_fract_y
_atom_site_fract_z
Hf1 Hf 0.0000 0.0000 0.0000
Zn1 Zn 0.2500 0.2500 0.7500
Ga1 Ga 0.2500 0.2500 0.2500
Ni1 Ni 0.0000 0.0000 0.5000
```

Te6AuBr2 after structural relaxation. Source: OQMD, functional PBE-GGA.

Results
The crystal system is triclinic. The electronic total energy comes out at -26.02 eV per formula unit.

CIF file:
```
data_Te6AuBr2
_cell_length_a 4.9056
_cell_length_b 8.2145
_cell_length_c 8.8280
_cell_angle_alpha 64.68
_cell_angle_beta 84.51
_cell_angle_gamma 89.89
_space_group_name_H-M_alt 'P -1'
_space_group_IT_number 2
loop_
_space_group_symop_operation_xyz
'x,y,z'
'-x,-y,-z'
loop_
_atom_site_label
_atom_site_type_symbol
_atom_site_fract_x
_atom_site_fract_y
_atom_site_fract_z
Te1 Te 0.1014 0.0313 0.2615
Te2 Te 0.1558 0.7017 0.9881
Te3 Te 0.2060 0.2540 0.7554
Au1 Au 0.0000 0.5000 0.5000
Br1 Br 0.4675 0.3542 0.2747
```